{
  "formula": "CaCrSi2O6",
  "functional": "PBE+U",
  "state": "relaxed",
  "n_ef_per_ev_cell": 0.00,
  "polymorph_energy_ev_per_atom": 0.000,
  "total_energy_ev_per_cell": -153.319,
  "cell": [[5.311, -0.001, -0.001], [1.444, 6.743, 0.000], [1.444, 0.185, 6.741]],
  "species": ["Ca", "Si", "O", "O", "Cr", "O", "O", "O", "O", "O", "O", "Si", "Ca", "O", "O", "O", "O", "Si", "Si", "Cr"],
  "fractional_positions": [[0.750, 0.700, 0.300], [0.770, 0.194, 0.377], [0.493, 0.637, 0.674], [0.993, 0.674, 0.637], [0.750, 0.097, 0.903], [0.360, 0.212, 0.022], [0.507, 0.363, 0.326], [0.827, 0.399, 0.877], [0.140, 0.978, 0.788], [0.327, 0.877, 0.399], [0.673, 0.123, 0.601], [0.270, 0.377, 0.194], [0.250, 0.300, 0.700], [0.860, 0.022, 0.212], [0.173, 0.601, 0.123], [0.007, 0.326, 0.363], [0.640, 0.788, 0.978], [0.730, 0.623, 0.806], [0.230, 0.806, 0.623], [0.250, 0.903, 0.097]]
}